Record 1
Ho2ScP3: optimized geometry, PBE.

Geometry as POSCAR:
```
Ho2ScP3
1.0
6.6875 -0.0225 -1.1184
-3.6047 5.6328 -1.1184
-0.0136 -0.0247 6.7743
Ho Sc P
4 2 6
direct
0.8333 0.1667 0.5000
0.3333 0.6667 0.0000
0.1683 0.8317 0.5000
0.4984 0.5016 0.5000
0.0006 0.9994 0.0000
0.6661 0.3339 0.0000
0.5941 0.9274 0.7602
0.0726 0.4059 0.2398
0.9123 0.5862 0.7586
0.2528 0.2457 0.7587
0.4138 0.0877 0.2414
0.7543 0.7472 0.2413
```

## Properties
Energy above the most stable polymorph in this dataset ... 0.000 eV per atom
VASP energy ... -82.105 eV per cell
Volume ... 21.19 Å³ per atom
Space-group type ... C2/m
DFT formation energy ... -9.34 eV per formula unit

---

Record 2
Ru2Pt2Rh3: optimized geometry, PBE.

Geometry as POSCAR:
```
Ru2Pt2Rh3
1.0
-3.0655 1.7638 -1.5396
1.8745 -3.3696 -2.7606
-3.7195 -3.6267 3.2512
Ru Pt Rh
2 2 3
direct
0.7828 0.5655 0.8588
0.2172 0.4345 0.1412
0.9292 0.8583 0.2779
0.0708 0.1417 0.7221
0.5000 0.0000 0.0000
0.6455 0.2911 0.4329
0.3545 0.7089 0.5671
```

## Properties
Energy above the most stable polymorph in this dataset ... 0.000 eV per atom
VASP energy ... -52.709 eV per cell
Volume ... 14.49 Å³ per atom
Space-group type ... C2/m
DFT formation energy ... -0.02 eV per formula unit

---

Record 3
CaGe2BOs2: optimized geometry, PBE.

Geometry as POSCAR:
```
CaGe2BOs2
1.0
4.2065 0.0000 0.0000
0.0000 4.2065 0.0000
0.0000 0.0000 5.5474
Ca Ge B Os
1 2 1 2
direct
0.0000 0.0000 0.5000
0.5000 0.5000 0.7249
0.5000 0.5000 0.2751
0.0000 0.0000 0.0000
0.5000 0.0000 0.0000
0.0000 0.5000 0.0000
```

## Properties
VASP energy ... -41.904 eV per cell
Volume ... 16.36 Å³ per atom
Space-group type ... P4/mmm
DFT formation energy ... -1.53 eV per formula unit

---

Record 4
VCuSi2: optimized geometry, PBE.

Geometry as POSCAR:
```
VCuSi2
1.0
-3.3509 -0.2849 -0.5404
0.6864 -2.2083 -3.0923
-0.0917 -3.1511 2.2300
Si Cu V
2 1 1
direct
0.0000 0.0000 0.5000
0.0000 0.5000 0.0000
0.5000 0.0000 0.0000
0.5000 0.5000 0.5000
```

## Properties
VASP energy ... -24.444 eV per cell
Volume ... 12.70 Å³ per atom
Space-group type ... P4/mmm

---

| no. | total magnetization (μB per cell) |
| --- | --- |
| 1 | 0.0 |
| 2 | 0.0 |
| 3 | 0.0 |
| 4 | 0.8 |